[1]
A plane-wave DFT calculation with PBE was carried out for a relaxed structure of Nd6In3Sn.

a b c (Å): 10.3157 10.3157 6.9721
angles (deg): 90.00 90.00 121.92
Element x y z (fractional)
Nd: 0.0212 0.9788 0.5000
Nd: 0.0930 0.5413 0.0323
Nd: 0.2505 0.3680 0.2826
Nd: 0.2883 0.7117 0.5162
Nd: 0.3680 0.2505 0.7826
Nd: 0.4587 0.9070 0.0323
Nd: 0.5413 0.0930 0.5323
Nd: 0.6320 0.7495 0.2826
Nd: 0.7117 0.2883 0.0162
Nd: 0.7495 0.6320 0.7826
Nd: 0.9070 0.4587 0.5323
Nd: 0.9788 0.0212 0.0000
In: 0.0920 0.3140 0.7153
In: 0.3140 0.0920 0.2153
In: 0.4140 0.5860 0.8655
In: 0.5860 0.4140 0.3655
In: 0.6860 0.9080 0.7153
In: 0.9080 0.6860 0.2153
Sn: 0.1493 0.8507 0.8131
Sn: 0.8507 0.1493 0.3131

Results
Energy of formation (meV/atom): -326
Size of the total moment (μB/atom): 0.00
Space group: Cmc2_1

[2]
A plane-wave DFT calculation with PBE was carried out for a relaxed structure of DyErGaRh.

a b c (Å): 4.3337 5.6656 5.6656
angles (deg): 39.76 90.00 90.00
Element x y z (fractional)
Dy: 0.0000 0.0000 0.0000
Er: 0.5000 0.2819 0.2819
Ga: 0.0000 0.7141 0.7141
Rh: 0.5000 0.5682 0.5682

Results
Energy of formation (meV/atom): -748
Polymorph energy (0 for the lowest one) (eV per formula unit): 0.000
Size of the total moment (μB/atom): 0.00
Space group: Amm2

[3]
A plane-wave DFT calculation with PBE was carried out for a relaxed structure of ScBe2SiPb.

a b c (Å): 4.2837 4.2837 5.1949
angles (deg): 90.00 90.00 90.00
Element x y z (fractional)
Sc: 0.0000 0.0000 0.0000
Be: 0.0000 0.5000 0.5000
Be: 0.5000 0.0000 0.5000
Si: 0.0000 0.0000 0.5000
Pb: 0.5000 0.5000 0.0000

Results
Polymorph energy (0 for the lowest one) (eV per formula unit): 0.000
Size of the total moment (μB/atom): 0.00
Space group: P4/mmm

[4]
A plane-wave DFT calculation with PBE was carried out for a relaxed structure of SrLiDyAl.

a b c (Å): 5.4092 5.4092 5.4092
angles (deg): 60.00 60.00 60.00
Element x y z (fractional)
Sr: 0.0000 0.0000 0.0000
Li: 0.7500 0.7500 0.7500
Dy: 0.5000 0.5000 0.5000
Al: 0.2500 0.2500 0.2500

Results
Energy of formation (meV/atom): -55
Size of the total moment (μB/atom): 0.00
Space group: F-43m

[5]
A plane-wave DFT calculation with PBE was carried out for a relaxed structure of AcMgCu2H8.

a b c (Å): 7.0694 7.0694 7.0694
angles (deg): 38.79 38.79 38.79
Element x y z (fractional)
Ac: 0.0000 0.0000 0.0000
Mg: 0.5000 0.5000 0.5000
Cu: 0.2402 0.2402 0.2402
Cu: 0.7598 0.7598 0.7598
H: 0.1076 0.4289 0.7790
H: 0.2210 0.8924 0.5711
H: 0.3240 0.3240 0.3240
H: 0.4289 0.7790 0.1076
H: 0.5711 0.2210 0.8924
H: 0.6760 0.6760 0.6760
H: 0.7790 0.1076 0.4289
H: 0.8924 0.5711 0.2210

Results
Size of the total moment (μB/atom): 0.05
Total DFT energy (no corrections) (eV/atom): -3.50
Space group: R-3

[6]
A plane-wave DFT calculation with PBE was carried out for a relaxed structure of PmEr2Br.

a b c (Å): 11.6244 11.6244 11.6244
angles (deg): 17.23 17.23 17.23
Element x y z (fractional)
Pm: 0.0000 0.0000 0.0000
Er: 0.0983 0.0983 0.0983
Er: 0.9017 0.9017 0.9017
Br: 0.5000 0.5000 0.5000

Results
Size of the total moment (μB/atom): 0.00
Total DFT energy (no corrections) (eV/atom): -4.10
Space group: R-3m

[7]
A plane-wave DFT calculation with PBE was carried out for a relaxed structure of Al2Fe2Si.

a b c (Å): 7.0683 7.0683 2.6462
angles (deg): 90.00 90.00 90.00
Element x y z (fractional)
Al: 0.1307 0.3693 0.0000
Al: 0.3693 0.8693 0.0000
Al: 0.6307 0.1307 0.0000
Al: 0.8693 0.6307 0.0000
Fe: 0.1674 0.6674 0.5000
Fe: 0.3326 0.1674 0.5000
Fe: 0.6674 0.8326 0.5000
Fe: 0.8326 0.3326 0.5000
Si: 0.0000 0.0000 0.0000
Si: 0.5000 0.5000 0.0000

Results
Polymorph energy (0 for the lowest one) (eV per formula unit): 2.055
Size of the total moment (μB/atom): 0.60
Space group: P4/mbm

[8]
A plane-wave DFT calculation with PBE was carried out for a relaxed structure of AlTlCdCl6.

a b c (Å): 6.5981 6.5981 7.0386
angles (deg): 90.00 90.00 120.00
Element x y z (fractional)
Al: 0.0000 0.0000 0.0000
Tl: 0.3333 0.6667 0.5000
Cd: 0.6667 0.3333 0.0000
Cl: 0.2986 0.0195 0.1965
Cl: 0.2986 0.2791 0.8035
Cl: 0.7209 0.0195 0.8035
Cl: 0.7209 0.7014 0.1965
Cl: 0.9805 0.2791 0.1965
Cl: 0.9805 0.7014 0.8035

Results
Size of the total moment (μB/atom): 0.00
Total DFT energy (no corrections) (eV/atom): -3.28
Space group: P312